# 1
## In2CoTe (PBE)

Data for In2CoTe after structural relaxation.

Geometry as CIF:
```
data_In2CoTe
_cell_length_a 5.159
_cell_length_b 5.159
_cell_length_c 9.086
_cell_angle_alpha 73.51
_cell_angle_beta 73.51
_cell_angle_gamma 90.00
_space_group_name_H-M_alt 'P 1'
_space_group_IT_number 1
loop_
_space_group_symop_operation_xyz
'x,y,z'
loop_
_atom_site_label
_atom_site_type_symbol
_atom_site_fract_x
_atom_site_fract_y
_atom_site_fract_z
Te1 Te 0.000 0.000 0.000
Te2 Te 0.750 0.250 0.500
In1 In 0.375 0.474 0.750
In2 In 0.526 0.125 0.250
In3 In 0.875 0.776 0.750
In4 In 0.224 0.625 0.250
Co1 Co 0.500 0.500 0.000
Co2 Co 0.250 0.750 0.500
```

Properties
As for the space group: I-42d. The calculation puts the density of states at the Fermi level at 4.72 states/eV/cell. Its mass density is 6.2 Mg/m³.



# 2
## In2CoTe (PBE)

Data for In2CoTe after structural relaxation.

Geometry as CIF:
```
data_In2CoTe
_cell_length_a 3.293
_cell_length_b 4.285
_cell_length_c 6.867
_cell_angle_alpha 71.68
_cell_angle_beta 90.00
_cell_angle_gamma 90.00
_space_group_name_H-M_alt 'P 1'
_space_group_IT_number 1
loop_
_space_group_symop_operation_xyz
'x,y,z'
loop_
_atom_site_label
_atom_site_type_symbol
_atom_site_fract_x
_atom_site_fract_y
_atom_site_fract_z
In1 In 0.500 0.319 0.237
In2 In 0.000 0.988 0.897
Co1 Co 0.500 0.520 0.833
Te1 Te 0.000 0.672 0.532
```

Properties
As for the space group: Pm. The calculation puts the density of states at the Fermi level at 2.44 states/eV/cell. Its mass density is 7.5 Mg/m³.



# 3
## InCoTe2 (PBE)

Data for InCoTe2 after structural relaxation.

Geometry as CIF:
```
data_InCoTe2
_cell_length_a 5.448
_cell_length_b 5.128
_cell_length_c 4.765
_cell_angle_alpha 72.04
_cell_angle_beta 72.90
_cell_angle_gamma 113.24
_space_group_name_H-M_alt 'P 1'
_space_group_IT_number 1
loop_
_space_group_symop_operation_xyz
'x,y,z'
loop_
_atom_site_label
_atom_site_type_symbol
_atom_site_fract_x
_atom_site_fract_y
_atom_site_fract_z
In1 In 0.500 0.500 0.000
Te1 Te 0.000 0.000 0.000
Te2 Te 0.500 0.000 0.500
Co1 Co 0.000 0.500 0.500
```

Properties
As for the space group: C2/m. The calculation puts the density of states at the Fermi level at 4.93 states/eV/cell. Its mass density is 7.0 Mg/m³.



Total energy list, top to bottom, in eV/atom: -3.59, -3.88, -3.66